The following is a DFT calculation (PBE) of a relaxed BeTcBr2 crystal.

Structure (extended XYZ):
```
8
Lattice="3.189 0.000 0.000 0.000 6.279 0.000 0.000 0.000 8.083" Properties=species:S:1:pos:R:3 pbc="T T T"
Be 0.000 0.000 0.000
Be 1.594 3.140 0.000
Tc 0.000 0.000 4.041
Tc 1.594 3.140 4.041
Br 0.000 3.140 1.640
Br 0.000 3.140 6.443
Br 1.594 0.000 1.640
Br 1.594 0.000 6.443
```

Computed properties:
Energy above the most stable polymorph in this dataset in meV per atom: 664
E in eV per atom: -3.622
V in Å³ per cell: 161.9
Space-group type: Cmmm, No. 65
DOS(E_F) in states/eV/f.u.: 1.828



The following is a DFT calculation (PBE) of a relaxed BeTc2Br crystal.

Structure (extended XYZ):
```
8
Lattice="5.616 0.000 0.000 0.000 3.240 0.000 -1.885 0.000 6.583" Properties=species:S:1:pos:R:3 pbc="T T T"
Be 0.000 0.000 0.000
Be 2.808 1.620 0.000
Tc 0.938 1.620 1.137
Tc -0.014 0.000 5.446
Tc 3.746 0.000 1.137
Tc 2.794 1.620 5.446
Br -0.942 1.620 3.291
Br 1.866 0.000 3.291
```

Computed properties:
Energy above the most stable polymorph in this dataset in meV per atom: 203
E in eV per atom: -6.037
V in Å³ per cell: 119.8
Space-group type: C2/m, No. 12
DOS(E_F) in states/eV/f.u.: 3.649



The following is a DFT calculation (PBE) of a relaxed BeTc2Br crystal.

Structure (extended XYZ):
```
4
Lattice="3.079 0.000 0.000 0.000 3.079 0.000 0.000 0.000 6.515" Properties=species:S:1:pos:R:3 pbc="T T T"
Be 0.000 0.000 0.000
Tc 1.539 1.539 1.130
Tc 1.539 1.539 5.386
Br 0.000 0.000 3.258
```

Computed properties:
Energy above the most stable polymorph in this dataset in meV per atom: 136
E in eV per atom: -6.104
V in Å³ per cell: 61.7
Space-group type: P4/mmm, No. 123
DOS(E_F) in states/eV/f.u.: 2.356



Formation energy from raw total energies in meV per atom, matching the order above: 737 496 429